[1]
Material: Hg2H3Cl6
Method: DFT, PBE-GGA
State: relaxed

Output
The calculation puts the total DFT energy (no corrections) at -2.514 eV/atom. The calculation puts the total magnetization at 0.0 Bohr magnetons per cell.

Cell lengths 6.5879, 8.4772, 13.4250 Å; angles 104.05, 94.73, 111.06 degrees
Space group P-1 (No. 2)
Asymmetric unit:
Hg: 0.1823 0.3275 0.4898 (multiplicity 2)
Hg: 0.2005 0.5395 0.0468 (multiplicity 2)
H: 0.0831 0.5887 0.7326 (multiplicity 2)
H: 0.2769 0.0786 0.2068 (multiplicity 2)
H: 0.3560 0.1976 0.7118 (multiplicity 2)
Cl: 0.0777 0.6525 0.4056 (multiplicity 2)
Cl: 0.1425 0.7365 0.8074 (multiplicity 2)
Cl: 0.2065 0.9760 0.1114 (multiplicity 2)
Cl: 0.3122 0.0879 0.6163 (multiplicity 2)
Cl: 0.4231 0.3051 0.3747 (multiplicity 2)
Cl: 0.4341 0.3853 0.8579 (multiplicity 2)

[2]
Material: HgHCl2
Method: DFT, PBE-GGA
State: relaxed

Output
The calculation puts the total magnetization at 4.0 Bohr magnetons per cell. The calculation puts the excess energy over the best structure of this formula in the dataset at 0.717 eV per atom.

Cell lengths 6.7202, 6.7202, 6.7202 Å; angles 90.00, 90.00, 90.00 degrees
Space group Fm-3m (No. 225)
Asymmetric unit:
Hg: 0.0000 0.0000 0.0000 (multiplicity 4)
H: 0.0000 0.0000 0.5000 (multiplicity 4)
Cl: 0.2500 0.2500 0.2500 (multiplicity 8)

[3]
Material: Hg5H4Cl2
Method: DFT, PBE-GGA
State: relaxed

Output
The calculation puts the total DFT energy (no corrections) at -1.691 eV/atom. The calculation puts the total magnetization at 0.0 Bohr magnetons per cell.

Cell lengths 10.0247, 10.0563, 7.7839 Å; angles 90.00, 128.16, 90.00 degrees
Space group C2/m (No. 12)
Asymmetric unit:
Hg: 0.0000 0.0000 0.0000 (multiplicity 2)
Hg: 0.1354 0.1742 0.8059 (multiplicity 8)
H: 0.0000 0.1523 0.5000 (multiplicity 4)
H: 0.0632 0.5000 0.8168 (multiplicity 4)
Cl: 0.0999 0.5000 0.3362 (multiplicity 4)

[4]
Material: Hg3HCl
Method: DFT, PBE-GGA
State: relaxed

Output
The calculation puts the total magnetization at 0.0 Bohr magnetons per cell. The calculation puts the excess energy over the best structure of this formula in the dataset at 0.273 eV per atom.

Cell lengths 4.7758, 4.7758, 4.7758 Å; angles 90.00, 90.00, 90.00 degrees
Space group Pm-3m (No. 221)
Asymmetric unit:
Hg: 0.0000 0.0000 0.5000 (multiplicity 3)
H: 0.0000 0.0000 0.0000 (multiplicity 1)
Cl: 0.5000 0.5000 0.5000 (multiplicity 1)

[5]
Material: HgHCl2
Method: DFT, PBE-GGA
State: relaxed

Output
The calculation puts the total magnetization at 0.0 Bohr magnetons per cell. The calculation puts the excess energy over the best structure of this formula in the dataset at 0.748 eV per atom.

Cell lengths 3.3665, 3.3665, 23.3117 Å; angles 90.00, 90.00, 120.00 degrees
Space group R-3m (No. 166, hexagonal axes)
Asymmetric unit:
Hg: 0.0000 0.0000 0.0000 (multiplicity 3)
H: 0.0000 0.0000 0.5000 (multiplicity 3)
Cl: 0.0000 0.0000 0.1137 (multiplicity 6)

[6]
Material: HgHCl
Method: DFT, PBE-GGA
State: relaxed

Output
The calculation puts the total magnetization at 0.0 Bohr magnetons per cell. The calculation puts the excess energy over the best structure of this formula in the dataset at 0.000 eV per atom.

Cell lengths 6.1424, 6.2539, 7.9546 Å; angles 90.00, 90.24, 90.00 degrees
Space group C2/m (No. 12)
Asymmetric unit:
Hg: 0.1746 0.0000 0.0930 (multiplicity 4)
H: 0.0603 0.0000 0.5087 (multiplicity 4)
Cl: 0.0103 0.5000 0.2491 (multiplicity 4)

[7]
Material: InHgH2Cl
Method: DFT, PBE-GGA
State: relaxed

Output
The calculation puts the total DFT energy (no corrections) at -2.271 eV/atom. The calculation puts the total magnetization at 0.0 Bohr magnetons per cell.

Cell lengths 4.0750, 4.0750, 6.5398 Å; angles 90.00, 90.00, 90.00 degrees
Space group P4/mmm (No. 123)
Asymmetric unit:
In: 0.0000 0.0000 0.0000 (multiplicity 1)
Hg: 0.5000 0.5000 0.5000 (multiplicity 1)
H: 0.0000 0.5000 0.5000 (multiplicity 2)
Cl: 0.5000 0.5000 0.0000 (multiplicity 1)

[8]
Material: K2HgH2Cl6
Method: DFT, PBE-GGA
State: relaxed

Output
The calculation puts the total DFT energy (no corrections) at -2.713 eV/atom. The calculation puts the total magnetization at 0.0 Bohr magnetons per cell.

Cell lengths 6.7197, 6.7197, 20.7355 Å; angles 90.00, 90.00, 120.00 degrees
Space group R-3m (No. 166, hexagonal axes)
Asymmetric unit:
K: 0.0000 0.0000 0.2204 (multiplicity 6)
Hg: 0.0000 0.0000 0.0000 (multiplicity 3)
H: 0.0000 0.0000 0.4136 (multiplicity 6)
Cl: 0.0209 0.5104 0.2487 (multiplicity 18)

[9]
Material: K2HgH2Cl4O
Method: DFT, PBE-GGA
State: relaxed

Output
The calculation puts the total DFT energy (no corrections) at -3.437 eV/atom. The calculation puts the total magnetization at 0.0 Bohr magnetons per cell.

Cell lengths 8.5040, 11.9007, 9.0455 Å; angles 90.00, 90.00, 90.00 degrees
Space group Pbam (No. 55)
Asymmetric unit:
K: 0.0793 0.1541 0.0000 (multiplicity 4)
K: 0.1107 0.1968 0.5000 (multiplicity 4)
Hg: 0.0000 0.5000 0.2240 (multiplicity 4)
H: 0.0855 0.9763 0.3017 (multiplicity 8)
Cl: 0.1136 0.6862 0.2538 (multiplicity 8)
Cl: 0.2022 0.4234 0.0000 (multiplicity 4)
Cl: 0.2362 0.9386 0.5000 (multiplicity 4)
O: 0.0000 0.0000 0.2346 (multiplicity 4)

[10]
Material: LiHgHCl2
Method: DFT, PBE-GGA
State: relaxed

Output
The calculation puts the total DFT energy (no corrections) at -1.752 eV/atom. The calculation puts the total magnetization at 1.0 Bohr magnetons per cell.

Cell lengths 5.4634, 5.4634, 5.3582 Å; angles 90.00, 90.00, 90.00 degrees
Space group P4/mmm (No. 123)
Asymmetric unit:
Li: 0.0000 0.0000 0.0000 (multiplicity 1)
Hg: 0.0000 0.0000 0.5000 (multiplicity 1)
H: 0.5000 0.5000 0.0000 (multiplicity 1)
Cl: 0.0000 0.5000 0.5000 (multiplicity 2)

[11]
Material: Mg2HgHCl
Method: DFT, PBE-GGA
State: relaxed

Output
The calculation puts the total DFT energy (no corrections) at -1.852 eV/atom. The calculation puts the total magnetization at 0.0 Bohr magnetons per cell.

Cell lengths 4.3265, 4.3265, 5.2075 Å; angles 90.00, 90.00, 90.00 degrees
Space group P4/mmm (No. 123)
Asymmetric unit:
Mg: 0.0000 0.5000 0.0000 (multiplicity 2)
Hg: 0.0000 0.0000 0.5000 (multiplicity 1)
H: 0.5000 0.5000 0.0000 (multiplicity 1)
Cl: 0.5000 0.5000 0.5000 (multiplicity 1)

[12]
Material: HgH4NCl2
Method: DFT, PBE-GGA
State: relaxed

Output
The calculation puts the total DFT energy (no corrections) at -3.770 eV/atom. The calculation puts the total magnetization at 0.0 Bohr magnetons per cell.

Cell lengths 5.0329, 5.0661, 7.3674 Å; angles 87.96, 87.79, 62.76 degrees
Space group P1 (No. 1)
Asymmetric unit:
Hg: 0.0000 0.0000 0.0000 (multiplicity 1)
H: 0.3055 0.3082 0.4922 (multiplicity 1)
H: 0.3140 0.6414 0.4800 (multiplicity 1)
H: 0.4259 0.4287 0.6721 (multiplicity 1)
H: 0.6413 0.3153 0.4800 (multiplicity 1)
N: 0.4211 0.4231 0.5319 (multiplicity 1)
Cl: 0.0847 0.0823 0.3880 (multiplicity 1)
Cl: 0.4910 0.4910 0.9698 (multiplicity 1)